No. 1
# Zr3TeN, relaxed, DFT GGA-PBE
data_Zr3TeN
_chemical_formula_sum 'Zr3 Te1 N1'
_cell_length_a 4.5317
_cell_length_b 4.5317
_cell_length_c 4.5317
_cell_angle_alpha 90.00
_cell_angle_beta 90.00
_cell_angle_gamma 90.00
_symmetry_space_group_name_H-M 'P m -3 m'
_symmetry_Int_Tables_number 221
_symmetry_space_group_name_Hall '-P 4 2 3'
loop_
_atom_site_label
_atom_site_fract_x
_atom_site_fract_y
_atom_site_fract_z
Zr1 0.0000 0.0000 0.5000
Te1 0.5000 0.5000 0.5000
N1 0.0000 0.0000 0.0000
# ΔE_f (raw): -707 meV per atom


No. 2
# TbMg11Cu, relaxed, DFT GGA-PBE
data_TbMg11Cu
_chemical_formula_sum 'Tb2 Mg22 Cu2'
_cell_length_a 5.7092
_cell_length_b 14.3040
_cell_length_c 7.6130
_cell_angle_alpha 90.00
_cell_angle_beta 110.55
_cell_angle_gamma 90.00
_symmetry_space_group_name_H-M 'C 1 2/m 1'
_symmetry_Int_Tables_number 12
_symmetry_space_group_name_Hall '-C 2y'
loop_
_atom_site_label
_atom_site_fract_x
_atom_site_fract_y
_atom_site_fract_z
Tb1 0.0000 0.0000 0.0000
Mg1 0.0000 0.0000 0.5000
Mg2 0.0960 0.3974 0.2181
Mg3 0.1836 0.1707 0.3571
Mg4 0.2500 0.2500 0.0000
Cu1 0.0000 0.5000 0.5000
# DFT formation energy: -30.3 meV per atom